VASP calculation (GGA-PBE) on Ta2FeS4 after structural relaxation.

Output
Size of the total moment = 0.0000 μB/atom
V = 119.6 Å³ per cell
Energy relative to the elements, uncorrected = -83 kJ/mol of atoms

a b c (Å): 3.3298 3.3298 12.4528
angles (deg): 90.00 90.00 120.00
Space group P-3m1 (No. 164)
Symmetry-distinct sites (fractional):
1 Ta 0.0000 0.0000 0.2291
2 Fe 0.0000 0.0000 0.0000
3 S 0.3333 0.6667 0.6452
4 S 0.3333 0.6667 0.9018